[1]
Nd2ScIn3PtAu2 | OQMD | GGA-PBE | relaxed; space group = No. 38; ρ = 10.15 g/cm3
1.0
-0.0168 -2.8907 2.7360
0.8408 -5.2936 -5.5877
6.2682 3.1053 3.3193
Au In Nd Pt Sc
2 3 2 1 1
Cartesian
2.6662 -3.8526 -1.1590 Au
4.3737 -1.2103 1.6433 Au
0.2406 -2.7884 -0.0494 In
1.6058 -0.6758 2.1909 In
5.2899 -3.0762 -0.3226 In
4.5749 -3.4410 -3.6075 Nd
6.7662 -0.0500 -0.0113 Nd
0.0667 -0.0205 -0.0213 Pt
2.8102 -0.8650 -0.8967 Sc

[2]
NaSiGeIr | OQMD | GGA-PBE | relaxed; space group = No. 216; ρ = 8.03 g/cm3
1.0
-3.7718 -1.4670 2.0136
-3.9367 2.0776 -0.7866
-3.2014 -2.0686 -2.4300
Ge Ir Na Si
1 1 1 1
Cartesian
-2.7275 -0.3645 -0.3008 Ge
0.0000 0.0000 0.0000 Ir
-8.1824 -1.0935 -0.9023 Na
-5.4549 -0.7290 -0.6015 Si

[3]
Al4W25 | OQMD | GGA-PBE | relaxed; space group = No. 217; ρ = 16.12 g/cm3
1.0
-4.9480 4.9480 4.9480
4.9480 -4.9480 4.9480
4.9480 4.9480 -4.9480
Al W
4 25
Cartesian
-3.1982 3.1982 3.1982 Al
3.1982 -3.1982 3.1982 Al
1.7498 1.7498 1.7498 Al
3.1982 3.1982 -3.1982 Al
0.0000 0.0000 0.0000 W
-0.9201 0.9201 2.8464 W
0.9201 -0.9201 2.8464 W
-1.4083 1.4083 5.3315 W
1.4083 -1.4083 5.3315 W
0.9201 0.9201 7.0495 W
-0.9201 2.8464 0.9201 W
2.8464 -0.9201 0.9201 W
1.4083 1.4083 4.5644 W
3.5397 -0.3836 3.5397 W
-0.3836 3.5397 3.5397 W
0.9201 2.8464 -0.9201 W
2.8464 0.9201 -0.9201 W
-1.4083 5.3315 1.4083 W
5.3315 -1.4083 1.4083 W
1.4083 4.5644 1.4083 W
4.5644 1.4083 1.4083 W
2.1015 4.0278 4.0278 W
4.0278 2.1015 4.0278 W
1.4083 5.3315 -1.4083 W
5.3315 1.4083 -1.4083 W
3.5397 3.5397 -0.3836 W
0.9201 7.0495 0.9201 W
7.0495 0.9201 0.9201 W
4.0278 4.0278 2.1015 W

The calculated total energy results, record by record, are as follows: -4.842; -4.620; -11.397 eV per atom.